# 1
{"formula": "CaCrS2", "functional": "GGA-PBEsol", "state": "relaxed", "sg": "R-3m (166)", "m_tot_mub_per_fu": 3.08, "raw_formation_energy_ev_per_atom": -0.724, "polymorph_energy_mev_per_atom": 52, "lattice": [[1.809, 1.044, 7.773], [-1.809, 1.044, 7.773], [0.000, -2.089, 7.773]], "species": ["Ca", "Cr", "S", "S"], "fractional_positions": [[0.000, 0.000, 0.000], [0.500, 0.500, 0.500], [0.115, 0.115, 0.115], [0.885, 0.885, 0.885]]}



# 2
{"formula": "ZrAsBr", "functional": "GGA-PBEsol", "state": "relaxed", "sg": "F-43m (216)", "m_tot_mub_per_fu": 0.00, "raw_formation_energy_ev_per_atom": -0.007, "polymorph_energy_mev_per_atom": 900, "lattice": [[0.000, 3.298, 3.298], [3.298, 0.000, 3.298], [3.298, 3.298, 0.000]], "species": ["Zr", "As", "Br"], "fractional_positions": [[0.000, 0.000, 0.000], [0.750, 0.750, 0.750], [0.500, 0.500, 0.500]]}



# 3
{"formula": "ZrCuRu2", "functional": "GGA-PBEsol", "state": "relaxed", "sg": "P4/mmm (123)", "m_tot_mub_per_fu": 0.00, "e_form_mev_per_atom": -149, "lattice": [[3.900, 0.000, 0.000], [0.000, 3.900, 0.000], [0.000, 0.000, 3.809]], "species": ["Zr", "Cu", "Ru", "Ru"], "fractional_positions": [[0.000, 0.000, 0.000], [0.500, 0.500, 0.000], [0.000, 0.500, 0.500], [0.500, 0.000, 0.500]]}